! PBE NaAgAsRh, optimized geometry; values from VASP
! magnetic moment	0.000	μB per formula unit
! DOS at the Fermi energy	0.328	states/eV/atom
! energy relative to the elements	-123	kJ/mol of formula units
! crystal system	tetragonal
&SYSTEM
  ibrav = 0, nat = 8, ntyp = 4
/
ATOMIC_SPECIES
Na 22.99 Na.upf
Ag 107.87 Ag.upf
As 74.92 As.upf
Rh 102.91 Rh.upf
ATOMIC_POSITIONS crystal
Na 0.250 0.250 0.239
Na 0.750 0.750 0.761
Ag 0.250 0.750 0.000
Ag 0.750 0.250 0.000
As 0.250 0.250 0.639
As 0.750 0.750 0.361
Rh 0.250 0.750 0.500
Rh 0.750 0.250 0.500
CELL_PARAMETERS angstrom
4.002 0.000 0.000
0.000 4.002 0.000
0.000 0.000 10.324

! PBE HfThMn, optimized geometry; values from VASP
! magnetic moment	0.000	μB per formula unit
! DOS at the Fermi energy	1.506	states/eV/atom
! energy relative to the elements	45	kJ/mol of formula units
! crystal system	tetragonal
&SYSTEM
  ibrav = 0, nat = 3, ntyp = 3
/
ATOMIC_SPECIES
Hf 178.49 Hf.upf
Th 232.04 Th.upf
Mn 54.94 Mn.upf
ATOMIC_POSITIONS crystal
Hf 0.000 0.000 0.000
Th 0.730 0.730 0.000
Mn 0.385 0.385 0.000
CELL_PARAMETERS angstrom
-1.629 1.629 6.087
1.629 -1.629 6.087
1.629 1.629 -6.087

! PBE NaHfN2F, optimized geometry; values from VASP
! magnetic moment	0.468	μB per formula unit
! DOS at the Fermi energy	0.557	states/eV/atom
! crystal system	tetragonal
! formation energy (no corrections)	-5.16	eV/f.u.
&SYSTEM
  ibrav = 0, nat = 5, ntyp = 4
/
ATOMIC_SPECIES
Na 22.99 Na.upf
Hf 178.49 Hf.upf
N 14.01 N.upf
F 19.00 F.upf
ATOMIC_POSITIONS crystal
Na 0.000 0.000 0.000
Hf 0.500 0.500 0.500
N 0.000 0.500 0.500
N 0.500 0.000 0.500
F 0.500 0.500 0.000
CELL_PARAMETERS angstrom
4.156 0.000 0.000
0.000 4.156 0.000
0.000 0.000 4.257

! PBE SrLiSe2, optimized geometry; values from VASP
! magnetic moment	0.000	μB per formula unit
! DOS at the Fermi energy	1.265	states/eV/atom
! crystal system	cubic
! formation energy (no corrections)	-4.72	eV/f.u.
&SYSTEM
  ibrav = 0, nat = 4, ntyp = 3
/
ATOMIC_SPECIES
Sr 87.62 Sr.upf
Li 6.94 Li.upf
Se 78.96 Se.upf
ATOMIC_POSITIONS crystal
Sr 0.000 0.000 0.000
Li 0.500 0.500 0.500
Se 0.250 0.250 0.250
Se 0.750 0.750 0.750
CELL_PARAMETERS angstrom
0.000 3.656 3.656
3.656 0.000 3.656
3.656 3.656 0.000

! PBE Sc3CdC, optimized geometry; values from VASP
! magnetic moment	0.000	μB per formula unit
! DOS at the Fermi energy	0.760	states/eV/atom
! energy relative to the elements	-62	kJ/mol of formula units
! crystal system	cubic
&SYSTEM
  ibrav = 0, nat = 20, ntyp = 3
/
ATOMIC_SPECIES
Sc 44.96 Sc.upf
Cd 112.41 Cd.upf
C 12.01 C.upf
ATOMIC_POSITIONS crystal
Sc 0.062 0.062 0.688
Sc 0.062 0.688 0.062
Sc 0.062 0.688 0.688
Sc 0.312 0.312 0.938
Sc 0.312 0.938 0.312
Sc 0.312 0.938 0.938
Sc 0.688 0.062 0.062
Sc 0.688 0.062 0.688
Sc 0.688 0.688 0.062
Sc 0.938 0.312 0.312
Sc 0.938 0.312 0.938
Sc 0.938 0.938 0.312
Cd 0.000 0.500 0.500
Cd 0.500 0.000 0.500
Cd 0.500 0.500 0.000
Cd 0.500 0.500 0.500
C 0.000 0.000 0.000
C 0.000 0.000 0.500
C 0.000 0.500 0.000
C 0.500 0.000 0.000
CELL_PARAMETERS angstrom
0.000 6.085 6.085
6.085 0.000 6.085
6.085 6.085 0.000

! PBE Ti4Nb2Re, optimized geometry; values from VASP
! magnetic moment	0.000	μB per formula unit
! DOS at the Fermi energy	1.386	states/eV/atom
! energy relative to the elements	-61	kJ/mol of formula units
! crystal system	triclinic
&SYSTEM
  ibrav = 0, nat = 7, ntyp = 3
/
ATOMIC_SPECIES
Ti 47.87 Ti.upf
Nb 92.91 Nb.upf
Re 186.21 Re.upf
ATOMIC_POSITIONS crystal
Ti 0.130 0.091 0.367
Ti 0.248 0.640 0.229
Ti 0.752 0.360 0.771
Ti 0.870 0.909 0.633
Nb 0.456 0.215 0.069
Nb 0.544 0.785 0.931
Re 0.000 0.500 0.500
CELL_PARAMETERS angstrom
2.845 0.000 0.000
-0.776 6.855 0.000
-0.954 -3.444 6.069

! PBE CsSnHg, optimized geometry; values from VASP
! magnetic moment	0.000	μB per formula unit
! DOS at the Fermi energy	0.411	states/eV/atom
! energy relative to the elements	-72	kJ/mol of formula units
! crystal system	monoclinic
&SYSTEM
  ibrav = 0, nat = 6, ntyp = 3
/
ATOMIC_SPECIES
Cs 132.91 Cs.upf
Sn 118.71 Sn.upf
Hg 200.59 Hg.upf
ATOMIC_POSITIONS crystal
Cs 0.000 0.000 0.000
Cs 0.145 0.145 0.704
Sn 0.433 0.433 0.298
Sn 0.775 0.775 0.157
Hg 0.379 0.379 0.570
Hg 0.699 0.699 0.408
CELL_PARAMETERS angstrom
6.931 -2.376 0.000
6.931 2.376 0.000
-5.538 0.000 7.331

! PBE SiPPb3, optimized geometry; values from VASP
! magnetic moment	0.000	μB per formula unit
! DOS at the Fermi energy	0.929	states/eV/atom
! crystal system	cubic
! formation energy (no corrections)	3.62	eV/f.u.
&SYSTEM
  ibrav = 0, nat = 5, ntyp = 3
/
ATOMIC_SPECIES
Si 28.09 Si.upf
P 30.97 P.upf
Pb 207.20 Pb.upf
ATOMIC_POSITIONS crystal
Si 0.000 0.000 0.000
P 0.500 0.500 0.500
Pb 0.000 0.500 0.500
Pb 0.500 0.000 0.500
Pb 0.500 0.500 0.000
CELL_PARAMETERS angstrom
5.406 0.000 0.000
0.000 5.406 0.000
0.000 0.000 5.406

! PBE OsPt3W, optimized geometry; values from VASP
! magnetic moment	2.275	μB per formula unit
! DOS at the Fermi energy	1.449	states/eV/atom
! energy relative to the elements	938	kJ/mol of formula units
! crystal system	cubic
&SYSTEM
  ibrav = 0, nat = 5, ntyp = 3
/
ATOMIC_SPECIES
Os 190.23 Os.upf
Pt 195.08 Pt.upf
W 183.84 W.upf
ATOMIC_POSITIONS crystal
Os 0.000 0.000 0.000
Pt 0.000 0.500 0.500
Pt 0.500 0.000 0.500
Pt 0.500 0.500 0.000
W 0.500 0.500 0.500
CELL_PARAMETERS angstrom
4.771 0.000 0.000
0.000 4.771 0.000
0.000 0.000 4.771

! PBE SrCuMo2, optimized geometry; values from VASP
! magnetic moment	0.000	μB per formula unit
! DOS at the Fermi energy	1.361	states/eV/atom
! energy relative to the elements	541	kJ/mol of formula units
! crystal system	cubic
&SYSTEM
  ibrav = 0, nat = 4, ntyp = 3
/
ATOMIC_SPECIES
Sr 87.62 Sr.upf
Cu 63.55 Cu.upf
Mo 95.94 Mo.upf
ATOMIC_POSITIONS crystal
Sr 0.000 0.000 0.000
Cu 0.500 0.500 0.500
Mo 0.250 0.250 0.250
Mo 0.750 0.750 0.750
CELL_PARAMETERS angstrom
0.000 3.291 3.291
3.291 0.000 3.291
3.291 3.291 0.000

! PBE K3ZrS3, optimized geometry; values from VASP
! magnetic moment	0.000	μB per formula unit
! DOS at the Fermi energy	0.015	states/eV/atom
! crystal system	monoclinic
! formation energy (no corrections)	-9.04	eV/f.u.
&SYSTEM
  ibrav = 0, nat = 28, ntyp = 3
/
ATOMIC_SPECIES
K 39.10 K.upf
Zr 91.22 Zr.upf
S 32.06 S.upf
ATOMIC_POSITIONS crystal
K 0.095 0.128 0.473
K 0.095 0.372 0.973
K 0.166 0.105 0.897
K 0.166 0.395 0.397
K 0.335 0.678 0.546
K 0.335 0.822 0.046
K 0.665 0.178 0.954
K 0.665 0.322 0.454
K 0.834 0.605 0.603
K 0.834 0.895 0.103
K 0.905 0.628 0.027
K 0.905 0.872 0.527
Zr 0.446 0.061 0.346
Zr 0.446 0.439 0.846
Zr 0.554 0.561 0.154
Zr 0.554 0.939 0.654
S 0.172 0.190 0.205
S 0.172 0.310 0.705
S 0.316 0.609 0.859
S 0.316 0.891 0.359
S 0.360 0.539 0.268
S 0.360 0.961 0.768
S 0.640 0.039 0.232
S 0.640 0.461 0.732
S 0.684 0.109 0.641
S 0.684 0.391 0.141
S 0.828 0.690 0.295
S 0.828 0.810 0.795
CELL_PARAMETERS angstrom
7.966 0.000 0.000
0.000 13.307 0.000
-6.089 0.000 8.191

! PBE K2NdSiS4, optimized geometry; values from VASP
! magnetic moment	0.000	μB per formula unit
! DOS at the Fermi energy	0.308	states/eV/atom
! crystal system	orthorhombic
! formation energy (no corrections)	-8.75	eV/f.u.
&SYSTEM
  ibrav = 0, nat = 16, ntyp = 4
/
ATOMIC_SPECIES
K 39.10 K.upf
Nd 144.24 Nd.upf
Si 28.09 Si.upf
S 32.06 S.upf
ATOMIC_POSITIONS crystal
K 0.000 0.000 0.000
K 0.500 0.000 0.000
K 0.500 0.000 0.500
K 0.500 0.500 0.500
Nd 0.000 0.500 0.500
Nd 0.500 0.500 0.000
Si 0.000 0.000 0.500
Si 0.000 0.500 0.000
S 0.188 0.743 0.445
S 0.202 0.257 0.945
S 0.217 0.235 0.517
S 0.217 0.700 0.983
S 0.783 0.300 0.017
S 0.783 0.765 0.483
S 0.798 0.743 0.055
S 0.812 0.257 0.555
CELL_PARAMETERS angstrom
-4.013 4.225 5.826
4.013 -4.225 5.826
4.013 4.225 -5.826